No. 1
First-principles (PBE-GGA) data for an optimized crystal structure of PmErSbPd, as listed in the Alexandria database.

Results
energy relative to the elements, uncorrected	-3.1	eV/f.u.
crystal system	cubic

Cell: 7.345 7.345 7.345 Å, 90.00 90.00 90.00°
Positions (direct):
Pm1 0.000 0.000 0.000
Pm2 0.000 0.500 0.500
Pm3 0.500 0.000 0.500
Pm4 0.500 0.500 0.000
Er1 0.000 0.000 0.500
Er2 0.000 0.500 0.000
Er3 0.500 0.000 0.000
Er4 0.500 0.500 0.500
Sb1 0.250 0.250 0.750
Sb2 0.250 0.750 0.250
Sb3 0.750 0.250 0.250
Sb4 0.750 0.750 0.750
Pd1 0.250 0.250 0.250
Pd2 0.250 0.750 0.750
Pd3 0.750 0.250 0.750
Pd4 0.750 0.750 0.250

=====

No. 2
First-principles (PBE-GGA) data for an optimized crystal structure of Hf2CuHRh, as listed in the Alexandria database.

Results
crystal system	tetragonal
excess energy over the best structure of this formula in the dataset	0	meV per atom

Cell: 4.482 4.482 3.519 Å, 90.00 90.00 90.00°
Positions (direct):
Hf1 0.000 0.500 0.000
Hf2 0.500 0.000 0.000
Cu1 0.000 0.000 0.500
H1 0.000 0.000 0.000
Rh1 0.500 0.500 0.500

=====

No. 3
First-principles (PBE-GGA) data for an optimized crystal structure of YSc6Cd, as listed in the Alexandria database.

Results
energy of formation	-0.01	eV/atom
crystal system	tetragonal

Cell: 4.587 4.587 9.413 Å, 90.00 90.00 90.00°
Positions (direct):
Y1 0.000 0.000 0.000
Sc1 0.000 0.500 0.259
Sc2 0.000 0.500 0.741
Sc3 0.500 0.000 0.259
Sc4 0.500 0.000 0.741
Sc5 0.500 0.500 0.000
Sc6 0.500 0.500 0.500
Cd1 0.000 0.000 0.500

=====

No. 4
First-principles (PBE-GGA) data for an optimized crystal structure of HoTm5Te2, as listed in the Alexandria database.

Results
energy relative to the elements, uncorrected	-3.9	eV/f.u.
crystal system	orthorhombic

Cell: 3.836 10.054 11.868 Å, 90.00 90.00 90.00°
Positions (direct):
Ho1 0.000 0.000 0.000
Ho2 0.500 0.500 0.500
Tm1 0.000 0.211 0.359
Tm2 0.000 0.211 0.641
Tm3 0.000 0.500 0.000
Tm4 0.000 0.789 0.359
Tm5 0.000 0.789 0.641
Tm6 0.500 0.000 0.500
Tm7 0.500 0.289 0.141
Tm8 0.500 0.289 0.859
Tm9 0.500 0.711 0.141
Tm10 0.500 0.711 0.859
Te1 0.000 0.500 0.269
Te2 0.000 0.500 0.731
Te3 0.500 0.000 0.231
Te4 0.500 0.000 0.769

=====

| no. | density (g/cm³) |
| --- | --- |
| 1 | 9.06 |
| 2 | 12.32 |
| 3 | 3.95 |
| 4 | 9.18 |